[1]
This record from the Alexandria database describes crystalline PmGa7Ag5 at its relaxed geometry. The functional is PBE.

Results
Crystal system ... orthorhombic
Total magnetization ... 0.000 μB/f.u.
Electronic total energy ... -42.30 eV for the cell shown

a b c (Å): 5.6863 7.1395 7.1395
angles (deg): 83.73 66.53 66.53
Atoms (fractional coordinates):
Ga 0.9968 0.6527 0.3536
Ga 0.5044 0.1832 0.8081
Ag 0.7301 0.7699 0.7699
Ag 0.0022 0.0053 0.4917
Ga 0.6395 0.3605 0.3605
Ga 0.2725 0.2275 0.2275
Ga 0.9968 0.3536 0.6527
Ga 0.5044 0.8081 0.1832
Ag 0.5008 0.4917 0.0053
Ag 0.5008 0.0053 0.4917
Pm 0.9983 0.0017 0.0017
Ga 0.3512 0.6488 0.6488
Ag 0.0022 0.4917 0.0053

=====

[2]
This record from the Alexandria database describes crystalline Pm2GaAg at its relaxed geometry. The functional is PBE.

Results
Crystal system ... tetragonal
Total magnetization ... 0.001 μB/f.u.
ΔE to the lowest computed polymorph ... 0 meV/atom

a b c (Å): 3.6424 3.6424 7.6175
angles (deg): 90.00 90.00 90.00
Atoms (fractional coordinates):
Ag 0.5000 0.5000 0.5000
Pm 0.0000 0.0000 0.2424
Pm 0.0000 0.0000 0.7576
Ga 0.5000 0.5000 0.0000